1.
# ErTh2Re (PBE, relaxed)
# - Energy of formation from the pure elements: 0.52 eV/atom
# - VASP energy: -7.440 eV/atom
data_ErTh2Re
_chemical_formula_sum 'Er3 Th6 Re3'
_cell_length_a 3.8913
_cell_length_b 3.8913
_cell_length_c 30.9400
_cell_angle_alpha 90.00
_cell_angle_beta 90.00
_cell_angle_gamma 120.00
_symmetry_space_group_name_H-M 'R -3 m'
_symmetry_Int_Tables_number 166
_symmetry_space_group_name_Hall '-R 3 2"'
loop_
_atom_site_label
_atom_site_type_symbol
_atom_site_fract_x
_atom_site_fract_y
_atom_site_fract_z
Er1 Er 0.0000 0.0000 0.0000
Th1 Th 0.0000 0.0000 0.1125
Re1 Re 0.0000 0.0000 0.5000

***

2.
# NaBeBr3 (PBE, relaxed)
# - VASP energy: -2.858 eV/atom
data_NaBeBr3
_chemical_formula_sum 'Na1 Be1 Br3'
_cell_length_a 4.952
_cell_length_b 4.952
_cell_length_c 4.952
_cell_angle_alpha 90.00
_cell_angle_beta 90.00
_cell_angle_gamma 90.00
_symmetry_space_group_name_H-M 'P m -3 m'
_symmetry_Int_Tables_number 221
_symmetry_space_group_name_Hall '-P 4 2 3'
loop_
_atom_site_label
_atom_site_type_symbol
_atom_site_fract_x
_atom_site_fract_y
_atom_site_fract_z
Na1 Na 0.000 0.000 0.000
Be1 Be 0.500 0.500 0.500
Br1 Br 0.000 0.500 0.500

***

3.
# NaGeSeO5 (PBE, relaxed)
# - VASP energy: -5.368 eV/atom
data_NaGeSeO5
_chemical_formula_sum 'Na4 Ge4 Se4 O20'
_cell_length_a 6.904
_cell_length_b 9.072
_cell_length_c 6.964
_cell_angle_alpha 90.00
_cell_angle_beta 113.16
_cell_angle_gamma 90.00
_symmetry_space_group_name_H-M 'C 1 2/c 1'
_symmetry_Int_Tables_number 15
_symmetry_space_group_name_Hall '-C 2yc'
loop_
_atom_site_label
_atom_site_type_symbol
_atom_site_fract_x
_atom_site_fract_y
_atom_site_fract_z
Na1 Na 0.000 0.177 0.250
Ge1 Ge 0.000 0.500 0.000
Se1 Se 0.000 0.179 0.750
O1 O 0.000 0.434 0.250
O2 O 0.101 0.297 0.603
O3 O 0.195 0.056 0.921

***

4.
# Rb2SnI2Br2 (PBE, relaxed)
# - VASP energy: -2.961 eV/atom
data_Rb2SnI2Br2
_chemical_formula_sum 'Rb4 Sn2 I4 Br4'
_cell_length_a 17.471
_cell_length_b 4.737
_cell_length_c 8.517
_cell_angle_alpha 90.00
_cell_angle_beta 117.35
_cell_angle_gamma 90.00
_symmetry_space_group_name_H-M 'C 1 2/m 1'
_symmetry_Int_Tables_number 12
_symmetry_space_group_name_Hall '-C 2y'
loop_
_atom_site_label
_atom_site_type_symbol
_atom_site_fract_x
_atom_site_fract_y
_atom_site_fract_z
Rb1 Rb 0.158 0.000 0.118
Sn1 Sn 0.000 0.000 0.500
I1 I 0.021 0.500 0.259
Br1 Br 0.187 0.000 0.737

***

The highest VASP energy belongs to which entry?
NaBeBr3

***

Which formula does entry 2 have?
NaBeBr3

***

What is the VASP energy in the third record?
-5.368 eV/atom

***

Among the records above, which one has the highest VASP energy?
NaBeBr3